No. 1
Mo3O10 | PBE+U | optimized geometry

Cell: 11.1392 11.1392 3.6879 Å, 90.00 90.00 120.00°
Closest atoms and distances in Å follow each position.
Positions (direct):
Mo 0.1119 0.4654 0.2500  2 O 1.70-1.75
Mo 0.3536 0.8881 0.2500  2 O 1.70-1.75
Mo 0.4654 0.3536 0.7500  2 O 1.70-1.75
Mo 0.5346 0.6464 0.2500  2 O 1.70-1.75
Mo 0.6464 0.1119 0.7500  2 O 1.70-1.75
Mo 0.8881 0.5346 0.7500  2 O 1.70-1.75
O 0.0000 0.0000 0.2500  2 O 1.84
O 0.0000 0.0000 0.7500  2 O 1.84
O 0.0199 0.2890 0.2500  1 Mo 1.70
O 0.0796 0.5046 0.7500  2 Mo 1.97
O 0.2182 0.7156 0.2500  1 Mo 1.75
O 0.2691 0.9801 0.2500  1 Mo 1.70
O 0.2844 0.5026 0.2500  1 Mo 1.75
O 0.2890 0.2691 0.7500  1 Mo 1.70
O 0.4251 0.9204 0.7500  2 Mo 1.97
O 0.4954 0.5749 0.7500  2 Mo 1.97
O 0.4974 0.7818 0.2500  1 Mo 1.75
O 0.5026 0.2182 0.7500  1 Mo 1.75
O 0.5046 0.4251 0.2500  2 Mo 1.97
O 0.5749 0.0796 0.2500  2 Mo 1.97
O 0.7110 0.7309 0.2500  1 Mo 1.70
O 0.7156 0.4974 0.7500  1 Mo 1.75
O 0.7309 0.0199 0.7500  1 Mo 1.70
O 0.7818 0.2844 0.7500  1 Mo 1.75
O 0.9204 0.4954 0.2500  2 Mo 1.97
O 0.9801 0.7110 0.7500  1 Mo 1.70

Fermi-level density of states   2.25 states/eV/cell
Energy above the lowest structure with this stoichiometry   0.0 meV per atom
Space-group type   P6_3/m (176)



No. 2
MoO2 | PBE+U | optimized geometry

Cell: 5.0935 5.0935 5.0935 Å, 36.61 36.61 36.61°
Closest atoms and distances in Å follow each position.
Positions (direct):
Mo 0.0000 0.0000 0.0000  6 O 2.10
O 0.2639 0.2639 0.2639  3 Mo 2.10
O 0.7361 0.7361 0.7361  3 Mo 2.10

Uncorrected energy   -21.47 eV for the cell shown
Space-group type   R-3m (166)



No. 3
MoO | PBE+U | optimized geometry

Cell: 9.7435 9.7435 3.0366 Å, 90.00 90.00 90.00°
Closest atoms and distances in Å follow each position.
Positions (direct):
Mo 0.1208 0.6232 0.0000  3 O 2.09-2.12
Mo 0.1813 0.2669 0.5000  3 O 2.08-2.13
Mo 0.2669 0.8187 0.5000  3 O 2.08-2.13
Mo 0.3768 0.1208 0.0000  3 O 2.09-2.12
Mo 0.6232 0.8792 0.0000  3 O 2.09-2.12
Mo 0.7331 0.1813 0.5000  3 O 2.08-2.13
Mo 0.8187 0.7331 0.5000  3 O 2.08-2.13
Mo 0.8792 0.3768 0.0000  3 O 2.09-2.12
O 0.0607 0.7631 0.5000  3 Mo 2.08-2.12
O 0.1234 0.4092 0.0000  3 Mo 2.09-2.13
O 0.2369 0.0607 0.5000  3 Mo 2.08-2.12
O 0.4092 0.8766 0.0000  3 Mo 2.09-2.13
O 0.5908 0.1234 0.0000  3 Mo 2.09-2.13
O 0.7631 0.9393 0.5000  3 Mo 2.08-2.12
O 0.8766 0.5908 0.0000  3 Mo 2.09-2.13
O 0.9393 0.2369 0.5000  3 Mo 2.08-2.12

Fermi-level density of states   2.02 states/eV/cell
Energy above the lowest structure with this stoichiometry   285.5 meV per atom
Space-group type   P4/m (83)



No. 4
MoO3 | PBE+U | optimized geometry

Cell: 3.5330 3.5330 11.2795 Å, 90.00 90.00 120.00°
Closest atoms and distances in Å follow each position.
Positions (direct):
Mo 0.3333 0.6667 0.2500  2 O 1.78
Mo 0.6667 0.3333 0.7500  2 O 1.78
O 0.0000 0.0000 0.2500  3 Mo 2.04
O 0.0000 0.0000 0.7500  3 Mo 2.04
O 0.3333 0.6667 0.0920  1 Mo 1.78
O 0.3333 0.6667 0.4080  1 Mo 1.78
O 0.6667 0.3333 0.5920  1 Mo 1.78
O 0.6667 0.3333 0.9080  1 Mo 1.78

Fermi-level density of states   4.12 states/eV/cell
Uncorrected energy   -48.55 eV for the cell shown
Space-group type   P6_3/mmc (194)



No. 5
Mo2OsO | PBE+U | optimized geometry

Cell: 6.0257 6.0257 6.0257 Å, 125.64 125.64 80.49°
Closest atoms and distances in Å follow each position.
Positions (direct):
Mo 0.0612 0.6250 0.9362  2 O 2.07
Mo 0.3750 0.3112 0.4362  2 O 2.07
Mo 0.6888 0.1250 0.0638  2 O 2.07
Mo 0.8750 0.9388 0.5638  2 O 2.07
Os 0.2500 0.7500 0.5000  4 Mo 2.49
Os 0.5000 0.5000 0.0000  4 Mo 2.49
O 0.0000 0.0000 0.0000  4 Mo 2.07
O 0.7500 0.2500 0.5000  4 Mo 2.07

Fermi-level density of states   1.78 states/eV/cell
Energy above the lowest structure with this stoichiometry   0.0 meV per atom
Space-group type   I-42d (122)



No. 6
MoOs3O | PBE+U | optimized geometry

Cell: 4.1138 4.1138 4.1138 Å, 90.00 90.00 90.00°
Closest atoms and distances in Å follow each position.
Positions (direct):
Mo 0.0000 0.0000 0.0000  12 Os 2.91
Os 0.0000 0.5000 0.5000  2 O 2.06
Os 0.5000 0.0000 0.5000  2 O 2.06
Os 0.5000 0.5000 0.0000  2 O 2.06
O 0.5000 0.5000 0.5000  6 Os 2.06

Fermi-level density of states   4.62 states/eV/cell
Energy above the lowest structure with this stoichiometry   0.0 meV per atom
Space-group type   Pm-3m (221)



No. 7
Mo2OsO6 | PBE+U | optimized geometry

Cell: 9.2108 9.2108 4.4396 Å, 90.00 90.00 120.00°
Closest atoms and distances in Å follow each position.
Positions (direct):
Mo 0.0000 0.3474 0.0000  6 O 2.08-2.13
Mo 0.0000 0.6526 0.0000  6 O 2.08-2.13
Mo 0.3474 0.0000 0.0000  6 O 2.08-2.13
Mo 0.3474 0.3474 0.0000  6 O 2.08-2.13
Mo 0.6526 0.0000 0.0000  6 O 2.08-2.13
Mo 0.6526 0.6526 0.0000  6 O 2.08-2.13
Os 0.0000 0.0000 0.0000  6 O 2.00
Os 0.3333 0.6667 0.4861  6 O 1.98-2.02
Os 0.6667 0.3333 0.5139  6 O 1.98-2.02
O 0.1108 0.2216 0.7892  1 Os 2.00, 2 Mo 2.11
O 0.1108 0.8892 0.7892  1 Os 2.00, 2 Mo 2.11
O 0.1215 0.5607 0.7336  1 Os 2.02, 2 Mo 2.08
O 0.2216 0.1108 0.2108  1 Os 2.00, 2 Mo 2.11
O 0.2285 0.4570 0.2475  1 Os 1.98, 2 Mo 2.13
O 0.2285 0.7715 0.2475  1 Os 1.98, 2 Mo 2.13
O 0.4393 0.5607 0.7336  1 Os 2.02, 2 Mo 2.08
O 0.4393 0.8785 0.7336  1 Os 2.02, 2 Mo 2.08
O 0.4570 0.2285 0.7525  1 Os 1.98, 2 Mo 2.13
O 0.5430 0.7715 0.2475  1 Os 1.98, 2 Mo 2.13
O 0.5607 0.1215 0.2664  1 Os 2.02, 2 Mo 2.08
O 0.5607 0.4393 0.2664  1 Os 2.02, 2 Mo 2.08
O 0.7715 0.2285 0.7525  1 Os 1.98, 2 Mo 2.13
O 0.7715 0.5430 0.7525  1 Os 1.98, 2 Mo 2.13
O 0.7784 0.8892 0.7892  1 Os 2.00, 2 Mo 2.11
O 0.8785 0.4393 0.2664  1 Os 2.02, 2 Mo 2.08
O 0.8892 0.1108 0.2108  1 Os 2.00, 2 Mo 2.11
O 0.8892 0.7784 0.2108  1 Os 2.00, 2 Mo 2.11

Fermi-level density of states   2.51 states/eV/cell
Uncorrected energy   -199.65 eV for the cell shown
Space-group type   P-3m1 (164)



No. 8
MoOs3O | PBE+U | optimized geometry

Cell: 4.7428 4.7428 4.7428 Å, 90.00 90.00 90.00°
Closest atoms and distances in Å follow each position.
Positions (direct):
Mo 0.0000 0.0000 0.0000  6 Os 2.37
Os 0.0000 0.0000 0.5000  2 Mo 2.37
Os 0.0000 0.5000 0.0000  2 Mo 2.37
Os 0.5000 0.0000 0.0000  2 Mo 2.37
O 0.5000 0.5000 0.5000  12 Os 3.35

Fermi-level density of states   4.63 states/eV/cell
Energy above the lowest structure with this stoichiometry   2189.2 meV per atom
Space-group type   Pm-3m (221)



No. 9
Mo2OsO | PBE+U | optimized geometry

Cell: 4.3668 4.3668 4.3668 Å, 60.00 60.00 60.00°
Closest atoms and distances in Å follow each position.
Positions (direct):
Mo 0.2500 0.2500 0.2500  4 O 2.67, 4 Os 2.67
Mo 0.7500 0.7500 0.7500  4 O 2.67, 4 Os 2.67
Os 0.0000 0.0000 0.0000  8 Mo 2.67
O 0.5000 0.5000 0.5000  8 Mo 2.67

Fermi-level density of states   2.65 states/eV/cell
Energy above the lowest structure with this stoichiometry   464.5 meV per atom
Space-group type   Fm-3m (225)



No. 10
MoOs2O8 | PBE+U | optimized geometry

Cell: 6.2522 6.2522 5.3778 Å, 91.91 91.91 79.37°
Closest atoms and distances in Å follow each position.
Positions (direct):
Mo 0.0000 0.0000 0.0000  6 O 2.14-2.16
Os 0.2214 0.2214 0.5897  4 O 1.71-1.84
Os 0.7786 0.7786 0.4103  4 O 1.71-1.84
O 0.0324 0.7233 0.2367  1 Os 1.84
O 0.1707 0.1707 0.2684  1 Os 1.78
O 0.2767 0.9676 0.7633  1 Os 1.84
O 0.3931 0.3931 0.6871  1 Os 1.71
O 0.6069 0.6069 0.3129  1 Os 1.71
O 0.7233 0.0324 0.2367  1 Os 1.84
O 0.8293 0.8293 0.7316  1 Os 1.78
O 0.9676 0.2767 0.7633  1 Os 1.84

Fermi-level density of states   4.03 states/eV/cell
Uncorrected energy   -79.38 eV for the cell shown
Space-group type   C2/m (12)



No. 11
MoOsO4 | PBE+U | optimized geometry

Cell: 4.6267 5.7065 10.6298 Å, 90.00 90.00 90.00°
Closest atoms and distances in Å follow each position.
Positions (direct):
Mo 0.0000 0.0000 0.0000  6 O 2.06-2.18
Mo 0.0000 0.0000 0.5000  6 O 2.06-2.18
Mo 0.5000 0.5000 0.0000  6 O 2.06-2.18
Mo 0.5000 0.5000 0.5000  6 O 2.06-2.18
Os 0.0000 0.3004 0.2500  6 O 1.98-2.01
Os 0.0000 0.6996 0.7500  6 O 1.98-2.01
Os 0.5000 0.1996 0.7500  6 O 1.98-2.01
Os 0.5000 0.8004 0.2500  6 O 1.98-2.01
O 0.2010 0.2871 0.0859  1 Os 1.98, 2 Mo 2.06-2.09
O 0.2010 0.7129 0.5859  1 Os 1.98, 2 Mo 2.06-2.09
O 0.2394 0.0422 0.3251  2 Os 2.00-2.01, 1 Mo 2.18
O 0.2394 0.9578 0.8251  2 Os 2.00-2.01, 1 Mo 2.18
O 0.2606 0.4578 0.8251  2 Os 2.00-2.01, 1 Mo 2.18
O 0.2606 0.5422 0.3251  2 Os 2.00-2.01, 1 Mo 2.18
O 0.2990 0.2129 0.5859  1 Os 1.98, 2 Mo 2.06-2.09
O 0.2990 0.7871 0.0859  1 Os 1.98, 2 Mo 2.06-2.09
O 0.7010 0.2129 0.9141  1 Os 1.98, 2 Mo 2.06-2.09
O 0.7010 0.7871 0.4141  1 Os 1.98, 2 Mo 2.06-2.09
O 0.7394 0.4578 0.6749  2 Os 2.00-2.01, 1 Mo 2.18
O 0.7394 0.5422 0.1749  2 Os 2.00-2.01, 1 Mo 2.18
O 0.7606 0.0422 0.1749  2 Os 2.00-2.01, 1 Mo 2.18
O 0.7606 0.9578 0.6749  2 Os 2.00-2.01, 1 Mo 2.18
O 0.7990 0.2871 0.4141  1 Os 1.98, 2 Mo 2.06-2.09
O 0.7990 0.7129 0.9141  1 Os 1.98, 2 Mo 2.06-2.09

Fermi-level density of states   7.87 states/eV/cell
Uncorrected energy   -182.85 eV for the cell shown
Space-group type   Pbcn (60)



No. 12
MoP2OsO | PBE+U | optimized geometry

Cell: 4.8329 4.8329 3.6820 Å, 90.00 90.00 90.00°
Closest atoms and distances in Å follow each position.
Positions (direct):
Mo 0.0000 0.0000 0.0000  2 O 1.84
P 0.0000 0.5000 0.0000  2 Mo 2.42
P 0.5000 0.0000 0.0000  2 Mo 2.42
Os 0.5000 0.5000 0.5000  8 P 3.04
O 0.0000 0.0000 0.5000  2 Mo 1.84

Fermi-level density of states   3.64 states/eV/cell
Energy above the lowest structure with this stoichiometry   484.2 meV per atom
Space-group type   P4/mmm (123)